No. 1
Material: Hg2PdCO
Method: DFT, PBE
State: optimized geometry

abc: 4.684 4.684 4.179
angles: 90.00 90.00 90.00
Element x y z (fractional)
1 Hg 0.000 0.500 0.000
2 Hg 0.500 0.000 0.000
3 Pd 0.000 0.000 0.500
4 C 0.500 0.500 0.500
5 O 0.000 0.000 0.000

magnetization: 1.51 μB/f.u.
SG: P4/mmm, No. 123
DFT total energy: -0.190 Ry per atom
Fermi-level density of states: 0.817 states/eV per atom
raw formation energy: 1.42 eV/atom

No. 2
Material: Pm6Hg2CO
Method: DFT, PBE
State: optimized geometry

abc: 7.068 7.068 7.068
angles: 60.00 60.00 60.00
Element x y z (fractional)
1 Pm 0.248 0.248 0.752
2 Pm 0.248 0.752 0.248
3 Pm 0.248 0.752 0.752
4 Pm 0.752 0.248 0.248
5 Pm 0.752 0.248 0.752
6 Pm 0.752 0.752 0.248
7 Hg 0.250 0.250 0.250
8 Hg 0.750 0.750 0.750
9 C 0.000 0.000 0.000
10 O 0.500 0.500 0.500

magnetization: 0.00 μB/f.u.
SG: Fm-3m, No. 225
DFT total energy: -0.379 Ry per atom
Fermi-level density of states: 0.883 states/eV per atom
raw formation energy: -0.83 eV/atom

No. 3
Material: PmHgC2O8
Method: DFT, PBE
State: optimized geometry

abc: 5.207 5.207 6.911
angles: 90.00 90.00 120.00
Element x y z (fractional)
1 Pm 0.000 0.000 0.000
2 Hg 0.000 0.000 0.500
3 C 0.333 0.667 0.707
4 C 0.667 0.333 0.293
5 O 0.188 0.376 0.771
6 O 0.188 0.812 0.771
7 O 0.333 0.667 0.508
8 O 0.376 0.188 0.229
9 O 0.624 0.812 0.771
10 O 0.667 0.333 0.492
11 O 0.812 0.188 0.229
12 O 0.812 0.624 0.229

magnetization: 3.02 μB/f.u.
SG: P-3m1, No. 164
DFT total energy: -0.464 Ry per atom
Fermi-level density of states: 0.804 states/eV per atom
raw formation energy: -1.05 eV/atom

No. 4
Material: PmHgC2O6
Method: DFT, PBE
State: optimized geometry

abc: 6.586 6.586 7.320
angles: 106.98 106.98 93.22
Element x y z (fractional)
1 Pm 0.096 0.904 0.750
2 Pm 0.904 0.096 0.250
3 Hg 0.393 0.607 0.250
4 Hg 0.607 0.393 0.750
5 C 0.110 0.363 0.764
6 C 0.363 0.110 0.264
7 C 0.637 0.890 0.736
8 C 0.890 0.637 0.236
9 O 0.022 0.797 0.386
10 O 0.108 0.557 0.769
11 O 0.203 0.978 0.114
12 O 0.240 0.304 0.906
13 O 0.304 0.240 0.406
14 O 0.443 0.892 0.731
15 O 0.557 0.108 0.269
16 O 0.696 0.760 0.594
17 O 0.760 0.696 0.094
18 O 0.797 0.022 0.886
19 O 0.892 0.443 0.231
20 O 0.978 0.203 0.614

magnetization: 0.00 μB/f.u.
SG: C2/c, No. 15
DFT total energy: -0.517 Ry per atom
Fermi-level density of states: 0.264 states/eV per atom
raw formation energy: -1.71 eV/atom

No. 5
Material: PuHgC2O8
Method: DFT, PBE
State: optimized geometry

abc: 4.944 4.944 8.590
angles: 106.09 106.09 68.02
Element x y z (fractional)
1 Pu 0.000 0.000 0.000
2 Hg 0.000 0.000 0.500
3 C 0.369 0.369 0.730
4 C 0.631 0.631 0.270
5 O 0.210 0.210 0.985
6 O 0.220 0.627 0.798
7 O 0.264 0.264 0.573
8 O 0.373 0.780 0.202
9 O 0.627 0.220 0.798
10 O 0.736 0.736 0.427
11 O 0.780 0.373 0.202
12 O 0.790 0.790 0.015

magnetization: 2.00 μB/f.u.
SG: C2/m, No. 12
DFT total energy: -0.554 Ry per atom
Fermi-level density of states: 0.442 states/eV per atom
raw formation energy: -1.47 eV/atom

No. 6
Material: RbHgC2O6
Method: DFT, PBE
State: optimized geometry

abc: 7.097 7.097 7.105
angles: 105.17 105.17 94.03
Element x y z (fractional)
1 Rb 0.128 0.872 0.750
2 Rb 0.872 0.128 0.250
3 Hg 0.339 0.661 0.250
4 Hg 0.661 0.339 0.750
5 C 0.180 0.368 0.831
6 C 0.368 0.180 0.331
7 C 0.632 0.820 0.669
8 C 0.820 0.632 0.169
9 O 0.020 0.279 0.693
10 O 0.179 0.552 0.936
11 O 0.279 0.020 0.193
12 O 0.284 0.333 0.363
13 O 0.333 0.284 0.863
14 O 0.448 0.821 0.564
15 O 0.552 0.179 0.436
16 O 0.667 0.716 0.137
17 O 0.716 0.667 0.637
18 O 0.721 0.980 0.807
19 O 0.821 0.448 0.064
20 O 0.980 0.721 0.307

magnetization: 1.02 μB/f.u.
SG: C2/c, No. 15
DFT total energy: -0.449 Ry per atom
Fermi-level density of states: 0.371 states/eV per atom
raw formation energy: -1.16 eV/atom

No. 7
Material: RbHg2C2O6
Method: DFT, PBE
State: optimized geometry

abc: 5.388 5.709 7.181
angles: 109.79 96.13 106.07
Element x y z (fractional)
1 Rb 0.000 0.000 0.000
2 Hg 0.260 0.800 0.455
3 Hg 0.740 0.200 0.545
4 C 0.316 0.458 0.718
5 C 0.684 0.542 0.282
6 O 0.169 0.219 0.694
7 O 0.193 0.624 0.715
8 O 0.431 0.475 0.257
9 O 0.569 0.525 0.743
10 O 0.807 0.376 0.285
11 O 0.831 0.781 0.306

magnetization: 0.00 μB/f.u.
SG: P-1, No. 2
DFT total energy: -0.412 Ry per atom
Fermi-level density of states: 0.193 states/eV per atom
raw formation energy: -1.09 eV/atom

No. 8
Material: Rb2HgC2O6
Method: DFT, PBE
State: optimized geometry

abc: 6.408 6.408 6.926
angles: 113.40 113.40 48.59
Element x y z (fractional)
1 Rb 0.190 0.190 0.189
2 Rb 0.810 0.810 0.811
3 Hg 0.000 0.000 0.500
4 C 0.495 0.495 0.726
5 C 0.505 0.505 0.274
6 O 0.225 0.650 0.222
7 O 0.350 0.775 0.778
8 O 0.375 0.375 0.635
9 O 0.625 0.625 0.365
10 O 0.650 0.225 0.222
11 O 0.775 0.350 0.778

magnetization: 0.00 μB/f.u.
SG: C2/m, No. 12
DFT total energy: -0.438 Ry per atom
raw formation energy: -1.38 eV/atom